# EuPuBiPt

An optimized crystal structure of EuPuBiPt (PBE-GGA, Alexandria).

```
EuPuBiPt
1.0
0.0000 3.7629 3.7629
3.7629 0.0000 3.7629
3.7629 3.7629 0.0000
Eu Pu Bi Pt
1 1 1 1
direct
0.0000 0.0000 0.0000 Eu
0.5000 0.5000 0.5000 Pu
0.7500 0.7500 0.7500 Bi
0.2500 0.2500 0.2500 Pt
```

- formation energy (kJ per mole of atoms) = -54
- space group = F-43m

***

# EuPuBi

An optimized crystal structure of EuPuBi (PBE-GGA, Alexandria).

```
EuPuBi
1.0
5.5366 0.0000 0.0000
-2.7683 4.7948 0.0000
0.0000 0.0000 3.3971
Eu Pu Bi
1 1 1
direct
0.0000 0.0000 0.0000 Eu
0.6667 0.3333 0.0000 Pu
0.3333 0.6667 0.5000 Bi
```

- formation energy (kJ per mole of atoms) = -13
- energy above the most stable polymorph in this dataset (meV/atom) = 209
- space group = P-6m2

***

# EuPuBi

An optimized crystal structure of EuPuBi (PBE-GGA, Alexandria).

```
EuPuBi
1.0
-2.1142 2.1142 5.2270
2.1142 -2.1142 5.2270
2.1142 2.1142 -5.2270
Eu Pu Bi
1 1 1
direct
0.0000 0.0000 0.0000 Eu
0.6928 0.6928 0.0000 Pu
0.3410 0.3410 0.0000 Bi
```

- formation energy (kJ per mole of atoms) = -33
- energy above the most stable polymorph in this dataset (meV/atom) = 0
- space group = I4mm